No. 1
A plane-wave DFT calculation with GGA-PBE was carried out for a geometry-optimized RbLi3I structure.

- energy above the lowest structure with this stoichiometry (eV per formula unit) = 3.01
- uncorrected formation energy (eV/atom) = 0.46
- electronic total energy (eV per atom) = -1.190
- magnetic moment (μB per formula unit) = 0.0
- V (A^3/atom) = 49.5
- Fermi-level density of states (states/eV/atom) = 0.780

Geometry as CIF:
```
data_RbLi3I
_space_group_name_H-M_alt 'P m -3 m'
_space_group_IT_number 221
_space_group_name_Hall '-P 4 2 3'
_cell_length_a 6.279
_cell_length_b 6.279
_cell_length_c 6.279
_cell_angle_alpha 90.00
_cell_angle_beta 90.00
_cell_angle_gamma 90.00
loop_
_atom_site_label
_atom_site_fract_x
_atom_site_fract_y
_atom_site_fract_z
Rb1 0.000 0.000 0.000
Li1 0.000 0.000 0.500
I1 0.500 0.500 0.500
```

---

No. 2
A plane-wave DFT calculation with GGA-PBE was carried out for a geometry-optimized RbLi3I4 structure.

- uncorrected formation energy (eV/atom) = -1.25
- electronic total energy (eV per atom) = -2.869
- magnetic moment (μB per formula unit) = 0.0
- V (A^3/atom) = 40.2
- Fermi-level density of states (states/eV/atom) = 0.000

Geometry as CIF:
```
data_RbLi3I4
_space_group_name_H-M_alt 'P m n 21'
_space_group_IT_number 31
_space_group_name_Hall 'P 2ac -2'
_cell_length_a 10.122
_cell_length_b 8.099
_cell_length_c 7.840
_cell_angle_alpha 90.00
_cell_angle_beta 90.00
_cell_angle_gamma 90.00
loop_
_atom_site_label
_atom_site_fract_x
_atom_site_fract_y
_atom_site_fract_z
Rb1 0.000 0.185 0.000
Li1 0.000 0.807 0.490
Li2 0.247 0.335 0.502
I1 0.000 0.153 0.535
I2 0.000 0.758 0.138
I3 0.204 0.639 0.654
```

---

No. 3
A plane-wave DFT calculation with GGA-PBE was carried out for a geometry-optimized Rb3LiI4 structure.

- energy above the lowest structure with this stoichiometry (eV per formula unit) = 0.00
- uncorrected formation energy (eV/atom) = -1.39
- electronic total energy (eV per atom) = -2.767
- magnetic moment (μB per formula unit) = 0.0
- V (A^3/atom) = 45.8
- Fermi-level density of states (states/eV/atom) = 0.000

Geometry as CIF:
```
data_Rb3LiI4
_space_group_name_H-M_alt 'P n m a'
_space_group_IT_number 62
_space_group_name_Hall '-P 2ac 2n'
_cell_length_a 10.374
_cell_length_b 12.779
_cell_length_c 11.059
_cell_angle_alpha 90.00
_cell_angle_beta 90.00
_cell_angle_gamma 90.00
loop_
_atom_site_label
_atom_site_fract_x
_atom_site_fract_y
_atom_site_fract_z
Rb1 0.041 0.046 0.209
Rb2 0.105 0.750 0.424
Li1 0.204 0.750 0.988
I1 0.032 0.250 0.895
I2 0.182 0.060 0.536
I3 0.195 0.750 0.737
```

---

No. 4
A plane-wave DFT calculation with GGA-PBE was carried out for a geometry-optimized RbLiReI2 structure.

- uncorrected formation energy (eV/atom) = 0.73
- electronic total energy (eV per atom) = -2.961
- magnetic moment (μB per formula unit) = 3.5
- V (A^3/atom) = 40.0
- Fermi-level density of states (states/eV/atom) = 0.844

Geometry as CIF:
```
data_RbLiReI2
_space_group_name_H-M_alt 'P 4/m m m'
_space_group_IT_number 123
_space_group_name_Hall '-P 4 2'
_cell_length_a 5.596
_cell_length_b 5.596
_cell_length_c 6.390
_cell_angle_alpha 90.00
_cell_angle_beta 90.00
_cell_angle_gamma 90.00
loop_
_atom_site_label
_atom_site_fract_x
_atom_site_fract_y
_atom_site_fract_z
Rb1 0.000 0.000 0.000
Li1 0.500 0.500 0.000
Re1 0.000 0.000 0.500
I1 0.000 0.500 0.500
```

---

No. 5
A plane-wave DFT calculation with GGA-PBE was carried out for a geometry-optimized Rb2LiRhI6 structure.

- uncorrected formation energy (eV/atom) = -0.85
- electronic total energy (eV per atom) = -2.902
- magnetic moment (μB per formula unit) = 0.0
- V (A^3/atom) = 37.6
- Fermi-level density of states (states/eV/atom) = 0.000

Geometry as CIF:
```
data_Rb2LiRhI6
_space_group_name_H-M_alt 'F m -3 m'
_space_group_IT_number 225
_space_group_name_Hall '-F 4 2 3'
_cell_length_a 11.453
_cell_length_b 11.453
_cell_length_c 11.453
_cell_angle_alpha 90.00
_cell_angle_beta 90.00
_cell_angle_gamma 90.00
loop_
_atom_site_label
_atom_site_fract_x
_atom_site_fract_y
_atom_site_fract_z
Rb1 0.250 0.250 0.250
Li1 0.000 0.000 0.000
Rh1 0.000 0.000 0.500
I1 0.000 0.000 0.263
```

---

No. 6
A plane-wave DFT calculation with GGA-PBE was carried out for a geometry-optimized RbLi2RhI structure.

- uncorrected formation energy (eV/atom) = -0.18
- electronic total energy (eV per atom) = -2.924
- magnetic moment (μB per formula unit) = 0.0
- V (A^3/atom) = 27.4
- Fermi-level density of states (states/eV/atom) = 0.460

Geometry as CIF:
```
data_RbLi2RhI
_space_group_name_H-M_alt 'P 4/m m m'
_space_group_IT_number 123
_space_group_name_Hall '-P 4 2'
_cell_length_a 5.051
_cell_length_b 5.051
_cell_length_c 5.376
_cell_angle_alpha 90.00
_cell_angle_beta 90.00
_cell_angle_gamma 90.00
loop_
_atom_site_label
_atom_site_fract_x
_atom_site_fract_y
_atom_site_fract_z
Rb1 0.000 0.000 0.000
Li1 0.000 0.500 0.500
Rh1 0.500 0.500 0.500
I1 0.500 0.500 0.000
```

---

No. 7
A plane-wave DFT calculation with GGA-PBE was carried out for a geometry-optimized Rb2LiRuI structure.

- uncorrected formation energy (eV/atom) = 0.58
- electronic total energy (eV per atom) = -2.353
- magnetic moment (μB per formula unit) = 2.2
- V (A^3/atom) = 49.8
- Fermi-level density of states (states/eV/atom) = 1.958

Geometry as CIF:
```
data_Rb2LiRuI
_space_group_name_H-M_alt 'P 4/m m m'
_space_group_IT_number 123
_space_group_name_Hall '-P 4 2'
_cell_length_a 6.897
_cell_length_b 6.897
_cell_length_c 5.231
_cell_angle_alpha 90.00
_cell_angle_beta 90.00
_cell_angle_gamma 90.00
loop_
_atom_site_label
_atom_site_fract_x
_atom_site_fract_y
_atom_site_fract_z
Rb1 0.000 0.500 0.000
Li1 0.000 0.000 0.500
Ru1 0.500 0.500 0.500
I1 0.000 0.000 0.000
```

---

No. 8
A plane-wave DFT calculation with GGA-PBE was carried out for a geometry-optimized RbLi4S2I structure.

- uncorrected formation energy (eV/atom) = -1.20
- electronic total energy (eV per atom) = -3.499
- magnetic moment (μB per formula unit) = 0.0
- V (A^3/atom) = 23.9
- Fermi-level density of states (states/eV/atom) = 0.000

Geometry as CIF:
```
data_RbLi4S2I
_space_group_name_H-M_alt 'P 4/m m m'
_space_group_IT_number 123
_space_group_name_Hall '-P 4 2'
_cell_length_a 4.256
_cell_length_b 4.256
_cell_length_c 10.554
_cell_angle_alpha 90.00
_cell_angle_beta 90.00
_cell_angle_gamma 90.00
loop_
_atom_site_label
_atom_site_fract_x
_atom_site_fract_y
_atom_site_fract_z
Rb1 0.000 0.000 0.000
Li1 0.000 0.500 0.305
S1 0.500 0.500 0.209
I1 0.000 0.000 0.500
```

---

No. 9
A plane-wave DFT calculation with GGA-PBE was carried out for a geometry-optimized RbLiSbI2 structure.

- energy above the lowest structure with this stoichiometry (eV per formula unit) = 2.58
- uncorrected formation energy (eV/atom) = 0.02
- electronic total energy (eV per atom) = -2.000
- magnetic moment (μB per formula unit) = 3.1
- V (A^3/atom) = 65.3

Geometry as CIF:
```
data_RbLiSbI2
_space_group_name_H-M_alt 'P 4/m m m'
_space_group_IT_number 123
_space_group_name_Hall '-P 4 2'
_cell_length_a 6.916
_cell_length_b 6.916
_cell_length_c 6.829
_cell_angle_alpha 90.00
_cell_angle_beta 90.00
_cell_angle_gamma 90.00
loop_
_atom_site_label
_atom_site_fract_x
_atom_site_fract_y
_atom_site_fract_z
Rb1 0.000 0.000 0.000
Li1 0.500 0.500 0.500
Sb1 0.000 0.000 0.500
I1 0.000 0.500 0.000
```

---

No. 10
A plane-wave DFT calculation with GGA-PBE was carried out for a geometry-optimized RbLiSbI2 structure.

- energy above the lowest structure with this stoichiometry (eV per formula unit) = 0.00
- uncorrected formation energy (eV/atom) = -0.50
- electronic total energy (eV per atom) = -2.517
- magnetic moment (μB per formula unit) = 0.0
- V (A^3/atom) = 36.0
- Fermi-level density of states (states/eV/atom) = 0.551

Geometry as CIF:
```
data_RbLiSbI2
_space_group_name_H-M_alt 'P 4/m m m'
_space_group_IT_number 123
_space_group_name_Hall '-P 4 2'
_cell_length_a 5.872
_cell_length_b 5.872
_cell_length_c 5.223
_cell_angle_alpha 90.00
_cell_angle_beta 90.00
_cell_angle_gamma 90.00
loop_
_atom_site_label
_atom_site_fract_x
_atom_site_fract_y
_atom_site_fract_z
Rb1 0.000 0.000 0.000
Li1 0.500 0.500 0.500
Sb1 0.500 0.500 0.000
I1 0.000 0.500 0.500
```

---

No. 11
A plane-wave DFT calculation with GGA-PBE was carried out for a geometry-optimized RbLi2SbI6 structure.

- uncorrected formation energy (eV/atom) = -0.91
- electronic total energy (eV per atom) = -2.735
- magnetic moment (μB per formula unit) = 0.0
- V (A^3/atom) = 44.1
- Fermi-level density of states (states/eV/atom) = 0.000

Geometry as CIF:
```
data_RbLi2SbI6
_space_group_name_H-M_alt 'R -3'
_space_group_IT_number 148
_space_group_name_Hall '-R 3'
_cell_length_a 7.5538
_cell_length_b 7.5538
_cell_length_c 26.7583
_cell_angle_alpha 90.00
_cell_angle_beta 90.00
_cell_angle_gamma 120.00
loop_
_atom_site_label
_atom_site_fract_x
_atom_site_fract_y
_atom_site_fract_z
Rb1 0.0000 0.0000 0.0000
Li1 0.0000 0.0000 0.1674
Sb1 0.0000 0.0000 0.5000
I1 0.0002 0.3299 0.2302
```

---

No. 12
A plane-wave DFT calculation with GGA-PBE was carried out for a geometry-optimized RbLiScI6 structure.

- uncorrected formation energy (eV/atom) = -1.06
- electronic total energy (eV per atom) = -3.120
- magnetic moment (μB per formula unit) = 0.0
- V (A^3/atom) = 45.3
- Fermi-level density of states (states/eV/atom) = 1.357

Geometry as CIF:
```
data_RbLiScI6
_space_group_name_H-M_alt 'P 3 1 2'
_space_group_IT_number 149
_space_group_name_Hall 'P 3 2'
_cell_length_a 7.3274
_cell_length_b 7.3274
_cell_length_c 8.7717
_cell_angle_alpha 90.00
_cell_angle_beta 90.00
_cell_angle_gamma 120.00
loop_
_atom_site_label
_atom_site_fract_x
_atom_site_fract_y
_atom_site_fract_z
Rb1 0.0000 0.0000 0.0000
Li1 0.6667 0.3333 0.5000
Sc1 0.3333 0.6667 0.5000
I1 0.0070 0.3566 0.6943
```

---

Repeat the ninth record exactly.
A plane-wave DFT calculation with GGA-PBE was carried out for a geometry-optimized RbLiSbI2 structure.

- energy above the lowest structure with this stoichiometry (eV per formula unit) = 2.58
- uncorrected formation energy (eV/atom) = 0.02
- electronic total energy (eV per atom) = -2.000
- magnetic moment (μB per formula unit) = 3.1
- V (A^3/atom) = 65.3

Geometry as CIF:
```
data_RbLiSbI2
_space_group_name_H-M_alt 'P 4/m m m'
_space_group_IT_number 123
_space_group_name_Hall '-P 4 2'
_cell_length_a 6.916
_cell_length_b 6.916
_cell_length_c 6.829
_cell_angle_alpha 90.00
_cell_angle_beta 90.00
_cell_angle_gamma 90.00
loop_
_atom_site_label
_atom_site_fract_x
_atom_site_fract_y
_atom_site_fract_z
Rb1 0.000 0.000 0.000
Li1 0.500 0.500 0.500
Sb1 0.000 0.000 0.500
I1 0.000 0.500 0.000
```